## one
Computed, not measured: an optimized crystal structure of CaPmSm2 at the GGA-PBE level of DFT.

Cell lengths 5.8496, 5.8496, 5.8496 Å; angles 60.00, 60.00, 60.00 degrees
Last column: nearest neighbours and their distance in Å.
Fractional coordinates of all 4 atoms:
Ca 0.0000 0.0000 0.0000  8 Sm 3.58
Pm 0.5000 0.5000 0.5000  8 Sm 3.58
Sm 0.2500 0.2500 0.2500  4 Ca 3.58, 4 Pm 3.58
Sm 0.7500 0.7500 0.7500  4 Pm 3.58, 4 Ca 3.58

Calculated values
Space group: Fm-3m, No. 225
Spin magnetization (Bohr magnetons per cell): 0.0

## two
Computed, not measured: an optimized crystal structure of CaPmSm2 at the GGA-PBE level of DFT.

Cell lengths 12.3552, 12.3552, 12.3552 Å; angles 17.09, 17.09, 17.09 degrees
Last column: nearest neighbours and their distance in Å.
Fractional coordinates of all 4 atoms:
Ca 0.0000 0.0000 0.0000  6 Ca 3.67, 6 Sm 3.81-3.84
Pm 0.1659 0.1659 0.1659  6 Sm 3.59-3.60, 6 Pm 3.67
Sm 0.5790 0.5790 0.5790  3 Pm 3.60, 6 Sm 3.67, 3 Ca 3.84
Sm 0.7532 0.7532 0.7532  3 Pm 3.59, 6 Sm 3.67, 3 Ca 3.81

Calculated values
Space group: R3m, No. 160
Spin magnetization (Bohr magnetons per cell): 0.0

## three
Computed, not measured: an optimized crystal structure of CaPmSm2 at the GGA-PBE level of DFT.

Cell lengths 5.1871, 5.1871, 5.2072 Å; angles 90.00, 90.00, 90.00 degrees
Last column: nearest neighbours and their distance in Å.
Fractional coordinates of all 4 atoms:
Ca 0.0000 0.0000 0.0000  4 Pm 3.67, 8 Sm 3.67
Pm 0.5000 0.5000 0.0000  4 Ca 3.67, 8 Sm 3.67
Sm 0.0000 0.5000 0.5000  4 Sm 3.67, 4 Ca 3.67, 4 Pm 3.67
Sm 0.5000 0.0000 0.5000  4 Sm 3.67, 4 Ca 3.67, 4 Pm 3.67

Calculated values
Space group: P4/mmm, No. 123
Spin magnetization (Bohr magnetons per cell): 0.0

## four
Computed, not measured: an optimized crystal structure of CaPmSm2 at the GGA-PBE level of DFT.

Cell lengths 3.6814, 3.6814, 10.5112 Å; angles 90.00, 90.00, 90.00 degrees
Last column: nearest neighbours and their distance in Å.
Fractional coordinates of all 4 atoms:
Ca 0.0000 0.0000 0.0000  4 Ca 3.68, 8 Sm 3.82
Pm 0.0000 0.0000 0.5000  8 Sm 3.58, 4 Pm 3.68
Sm 0.5000 0.5000 0.2655  4 Pm 3.58, 4 Sm 3.68, 4 Ca 3.82
Sm 0.5000 0.5000 0.7345  4 Pm 3.58, 4 Sm 3.68, 4 Ca 3.82

Calculated values
Space group: P4/mmm, No. 123
Spin magnetization (Bohr magnetons per cell): 0.0

two ends up most stable, edging out the next structure by 8 meV/atom.

## one
Computed, not measured: an optimized crystal structure of CaPmSm2 at the GGA-PBE level of DFT.

Cell lengths 12.3756, 12.3756, 12.3756 Å; angles 17.06, 17.06, 17.06 degrees
Last column: nearest neighbours and their distance in Å.
Fractional coordinates of all 4 atoms:
Ca 0.0000 0.0000 0.0000  6 Ca 3.67, 6 Sm 3.82
Pm 0.5000 0.5000 0.5000  6 Sm 3.60, 6 Pm 3.67
Sm 0.2464 0.2464 0.2464  3 Pm 3.60, 6 Sm 3.67, 3 Ca 3.82
Sm 0.7536 0.7536 0.7536  3 Pm 3.60, 6 Sm 3.67, 3 Ca 3.82

Calculated values
Space group: R-3m, No. 166
Spin magnetization (Bohr magnetons per cell): 0.0

## two
Computed, not measured: an optimized crystal structure of CaPmSm2 at the GGA-PBE level of DFT.

Cell lengths 13.0038, 13.0038, 13.0038 Å; angles 15.94, 15.94, 15.94 degrees
Last column: nearest neighbours and their distance in Å.
Fractional coordinates of all 4 atoms:
Ca 0.0000 0.0000 0.0000  2 Sm 3.50, 6 Ca 3.61
Pm 0.5000 0.5000 0.5000  6 Sm 3.59, 6 Pm 3.61
Sm 0.0908 0.0908 0.0908  1 Ca 3.50, 3 Pm 3.59, 6 Sm 3.61
Sm 0.9092 0.9092 0.9092  1 Ca 3.50, 3 Pm 3.59, 6 Sm 3.61

Calculated values
Space group: R-3m, No. 166
Spin magnetization (Bohr magnetons per cell): 0.0

one ends up most stable, edging out the next structure by 91 meV/atom.

## one
Computed, not measured: an optimized crystal structure of CaPmSm at the GGA-PBE level of DFT.

Cell lengths 8.3179, 8.3179, 8.3179 Å; angles 154.24, 154.24, 36.75 degrees
Last column: nearest neighbours and their distance in Å.
Fractional coordinates of all 3 atoms:
Ca 0.0000 0.0000 0.0000  4 Ca 3.71, 4 Sm 3.81, 4 Pm 3.81
Pm 0.3245 0.3245 0.0000  4 Sm 3.53, 4 Pm 3.71, 4 Ca 3.81
Sm 0.6748 0.6748 0.0000  4 Pm 3.53, 4 Sm 3.71, 4 Ca 3.81

Calculated values
Space group: I4mm, No. 107
Spin magnetization (Bohr magnetons per cell): 0.0

## two
Computed, not measured: an optimized crystal structure of CaPmSm at the GGA-PBE level of DFT.

Cell lengths 3.6915, 3.6915, 9.2056 Å; angles 90.00, 90.00, 120.00 degrees
Last column: nearest neighbours and their distance in Å.
Fractional coordinates of all 3 atoms:
Ca 0.0000 0.0000 0.0000  6 Ca 3.69, 3 Sm 3.83, 3 Pm 3.84
Pm 0.6667 0.3333 0.3470  3 Sm 3.54, 6 Pm 3.69, 3 Ca 3.84
Sm 0.3333 0.6667 0.6546  3 Pm 3.54, 6 Sm 3.69, 3 Ca 3.83

Calculated values
Space group: P3m1, No. 156
Spin magnetization (Bohr magnetons per cell): 0.0

## three
Computed, not measured: an optimized crystal structure of CaPmSm at the GGA-PBE level of DFT.

Cell lengths 6.1623, 6.1623, 12.0230 Å; angles 115.83, 115.83, 33.07 degrees
Last column: nearest neighbours and their distance in Å.
Fractional coordinates of all 6 atoms:
Ca 0.0864 0.0864 0.4066  5 Ca 3.51-3.90, 4 Sm 3.63-3.83, 2 Pm 3.92
Ca 0.9136 0.9136 0.5934  5 Ca 3.51-3.90, 4 Sm 3.63-3.83, 2 Pm 3.92
Pm 0.4006 0.4006 0.0813  4 Sm 3.40-3.63, 5 Pm 3.51-3.68
Pm 0.5994 0.5994 0.9187  4 Sm 3.40-3.63, 5 Pm 3.51-3.68
Sm 0.2576 0.2576 0.7640  4 Pm 3.40-3.63, 2 Sm 3.51, 3 Ca 3.63-3.76
Sm 0.7424 0.7424 0.2360  4 Pm 3.40-3.63, 2 Sm 3.51, 3 Ca 3.63-3.76

Calculated values
Space group: C2/m, No. 12
Spin magnetization (Bohr magnetons per cell): 0.0

one ends up most stable, edging out the next structure by 8 meV/atom.

## one
Computed, not measured: an optimized crystal structure of CaPmSm at the GGA-PBE level of DFT.

Cell lengths 16.4979, 16.4979, 3.7027 Å; angles 90.00, 90.00, 167.31 degrees
Last column: nearest neighbours and their distance in Å.
Fractional coordinates of all 6 atoms:
Ca 0.0505 0.9495 0.7500  6 Ca 3.65-3.80, 4 Sm 3.79
Ca 0.9495 0.0505 0.2500  6 Ca 3.65-3.80, 4 Sm 3.79
Pm 0.2098 0.7902 0.7500  4 Sm 3.58, 8 Pm 3.65-3.70
Pm 0.7902 0.2098 0.2500  4 Sm 3.58, 8 Pm 3.65-3.70
Sm 0.3654 0.6346 0.7500  4 Pm 3.58, 4 Sm 3.65-3.70, 4 Ca 3.79
Sm 0.6346 0.3654 0.2500  4 Pm 3.58, 4 Sm 3.65-3.70, 4 Ca 3.79

Calculated values
Space group: Cmcm, No. 63
Spin magnetization (Bohr magnetons per cell): 0.0

## two
Computed, not measured: an optimized crystal structure of CaPmSm at the GGA-PBE level of DFT.

Cell lengths 3.7055, 3.7055, 15.9210 Å; angles 90.00, 90.00, 90.00 degrees
Last column: nearest neighbours and their distance in Å.
Fractional coordinates of all 6 atoms:
Ca 0.2500 0.2500 0.0924  8 Ca 3.71-3.94, 4 Sm 3.80
Ca 0.7500 0.7500 0.9076  8 Ca 3.71-3.94, 4 Sm 3.80
Pm 0.2500 0.2500 0.4180  4 Sm 3.58, 8 Pm 3.70-3.71
Pm 0.7500 0.7500 0.5820  4 Sm 3.58, 8 Pm 3.70-3.71
Sm 0.2500 0.2500 0.7348  4 Pm 3.58, 4 Sm 3.71, 4 Ca 3.80
Sm 0.7500 0.7500 0.2652  4 Pm 3.58, 4 Sm 3.71, 4 Ca 3.80

Calculated values
Space group: P4/nmm, No. 129
Spin magnetization (Bohr magnetons per cell): 0.0

two ends up most stable, edging out the next structure by 30 meV/atom.

## one
Computed, not measured: an optimized crystal structure of CaPm4Sm at the GGA-PBE level of DFT.

Cell lengths 9.7972, 9.7972, 9.7972 Å; angles 158.98, 140.42, 45.23 degrees
Last column: nearest neighbours and their distance in Å.
Fractional coordinates of all 6 atoms:
Ca 0.0000 0.0000 0.0000  2 Ca 3.57, 2 Sm 3.76, 8 Pm 3.77-3.86
Pm 0.0949 0.3362 0.7588  6 Pm 3.20-3.57
Pm 0.5094 0.5094 0.0000  6 Pm 3.44-3.57, 4 Ca 3.77
Pm 0.5774 0.3362 0.2412  6 Pm 3.20-3.57
Pm 0.6717 0.1717 0.5000  6 Pm 3.43-3.57, 4 Sm 3.77
Sm 0.1829 0.6829 0.5000  2 Sm 3.57, 8 Pm 3.67-3.77, 2 Ca 3.76

Calculated values
Space group: Imm2, No. 44
Spin magnetization (Bohr magnetons per cell): 0.0

## two
Computed, not measured: an optimized crystal structure of CaPm4Sm at the GGA-PBE level of DFT.

Cell lengths 6.7913, 6.7913, 6.7913 Å; angles 60.00, 60.00, 60.00 degrees
Last column: nearest neighbours and their distance in Å.
Fractional coordinates of all 6 atoms:
Ca 0.0000 0.0000 0.0000  12 Pm 3.99, 4 Sm 4.16
Pm 0.1294 0.6235 0.6235  6 Pm 3.36-3.44
Pm 0.6235 0.1294 0.6235  6 Pm 3.36-3.44
Pm 0.6235 0.6235 0.1294  6 Pm 3.36-3.44
Pm 0.6235 0.6235 0.6235  6 Pm 3.36-3.44
Sm 0.2500 0.2500 0.2500  12 Pm 3.98, 4 Ca 4.16

Calculated values
Space group: F-43m, No. 216
Spin magnetization (Bohr magnetons per cell): 0.0

## three
Computed, not measured: an optimized crystal structure of CaPm4Sm at the GGA-PBE level of DFT.

Cell lengths 3.6527, 5.2197, 11.0713 Å; angles 90.00, 90.00, 90.00 degrees
Last column: nearest neighbours and their distance in Å.
Fractional coordinates of all 6 atoms:
Ca 0.0000 0.0000 0.0000  2 Ca 3.65, 10 Pm 3.74-3.75
Pm 0.0000 0.0000 0.3382  7 Pm 3.58-3.65, 4 Sm 3.65, 1 Ca 3.74
Pm 0.0000 0.0000 0.6618  7 Pm 3.58-3.65, 4 Sm 3.65, 1 Ca 3.74
Pm 0.5000 0.5000 0.1786  1 Sm 3.56, 7 Pm 3.64-3.96, 4 Ca 3.75
Pm 0.5000 0.5000 0.8214  1 Sm 3.56, 7 Pm 3.64-3.96, 4 Ca 3.75
Sm 0.5000 0.5000 0.5000  10 Pm 3.56-3.65, 2 Sm 3.65

Calculated values
Space group: Pmmm, No. 47
Spin magnetization (Bohr magnetons per cell): 0.0

three ends up most stable, edging out the next structure by 140 meV/atom.

## one
Computed, not measured: an optimized crystal structure of Ca2Pm2Sm at the GGA-PBE level of DFT.

Cell lengths 3.7000, 3.7000, 15.5491 Å; angles 90.01, 90.01, 60.00 degrees
Last column: nearest neighbours and their distance in Å.
Fractional coordinates of all 5 atoms:
Ca 0.1660 0.1660 0.3930  9 Ca 3.70-3.96, 3 Pm 3.85-3.86
Ca 0.8340 0.8340 0.6070  9 Ca 3.70-3.96, 3 Pm 3.85-3.86
Pm 0.1656 0.1656 0.8133  3 Sm 3.60-3.61, 6 Pm 3.70, 3 Ca 3.85-3.86
Pm 0.8344 0.8344 0.1867  3 Sm 3.60-3.61, 6 Pm 3.70, 3 Ca 3.85-3.86
Sm 0.5000 0.5000 0.0000  6 Pm 3.60-3.61, 6 Sm 3.70

Calculated values
Space group: C2/m, No. 12
Spin magnetization (Bohr magnetons per cell): 0.0

## two
Computed, not measured: an optimized crystal structure of Ca2Pm2Sm at the GGA-PBE level of DFT.

Cell lengths 9.2768, 9.2768, 9.2768 Å; angles 150.80, 150.80, 41.77 degrees
Last column: nearest neighbours and their distance in Å.
Fractional coordinates of all 5 atoms:
Ca 0.2500 0.7500 0.5000  4 Ca 3.31, 4 Pm 3.65
Ca 0.7500 0.2500 0.5000  4 Ca 3.31, 4 Pm 3.65
Pm 0.0885 0.0885 0.0000  1 Pm 3.07
Pm 0.9115 0.9115 0.0000  1 Pm 3.07
Sm 0.5000 0.5000 0.0000  8 Pm 3.65

Calculated values
Space group: I4/mmm, No. 139
Spin magnetization (Bohr magnetons per cell): 0.0

one ends up most stable, edging out the next structure by 343 meV/atom.